(1)
DFT (PBE-GGA) results for a geometry-optimized NaP2NO structure.

a = 3.7400 Å, b = 3.7400 Å, c = 5.8209 Å
α = 90.00°, β = 90.00°, γ = 90.00°
Space group P4/mmm (No. 123)
One atom of each set of equivalent atoms:
Na 0.0000 0.0000 0.0000 x1
P 0.0000 0.5000 0.5000 x2
N 0.5000 0.5000 0.5000 x1
O 0.5000 0.5000 0.0000 x1

N(E_F) ... 2.90 states/eV per cell
Formation energy without anion corrections ... 713 meV/atom


(2)
DFT (PBE-GGA) results for a geometry-optimized Na4Pa3PdS8 structure.

a = 13.7510 Å, b = 7.8353 Å, c = 8.1346 Å
α = 90.00°, β = 124.24°, γ = 90.00°
Space group C2/m (No. 12)
One atom of each set of equivalent atoms:
Na 0.0000 0.0000 0.0000 x2
Na 0.0000 0.5000 0.0000 x2
Na 0.2500 0.2500 0.0000 x4
Pa 0.0000 0.0000 0.5000 x2
Pa 0.2500 0.2500 0.5000 x4
Pd 0.0000 0.5000 0.5000 x2
S 0.0105 0.2458 0.2749 x8
S 0.2432 0.0000 0.7331 x4
S 0.2494 0.0000 0.2681 x4

N(E_F) ... 36.81 states/eV per cell
Formation energy without anion corrections ... -1309 meV/atom


(3)
DFT (PBE-GGA) results for a geometry-optimized Li5GaSn4 structure.

a = 3.3093 Å, b = 3.3093 Å, c = 17.7444 Å
α = 90.00°, β = 90.00°, γ = 90.00°
Space group P4/mmm (No. 123)
One atom of each set of equivalent atoms:
Li 0.0000 0.0000 0.0000 x1
Li 0.0000 0.0000 0.2092 x2
Li 0.0000 0.0000 0.4163 x2
Ga 0.5000 0.5000 0.5000 x1
Sn 0.5000 0.5000 0.1021 x2
Sn 0.5000 0.5000 0.3149 x2

N(E_F) ... 3.30 states/eV per cell
Calculated formation energy ... -0.305 eV per atom


(4)
DFT (PBE-GGA) results for a geometry-optimized In2TcSb2 structure.

a = 6.9282 Å, b = 6.9282 Å, c = 5.3248 Å
α = 90.00°, β = 90.00°, γ = 90.00°
Space group P4/mbm (No. 127)
One atom of each set of equivalent atoms:
In 0.1764 0.3236 0.0000 x4
Tc 0.0000 0.0000 0.5000 x2
Sb 0.1518 0.6518 0.5000 x4

N(E_F) ... 10.41 states/eV per cell
Formation energy without anion corrections ... 294 meV/atom


The records above yield raw total energy values of -4.372 -5.808 -3.165 -4.524 eV per atom, respectively.